An optimized crystal structure of SnBiAs2Se, computed with PBE.

Output
Formation energy (no corrections) = 0.608 eV/atom

Lattice parameters (Å, degrees): 5.2544 5.2544 5.2130 90.00 90.00 90.00
Fractional positions:
As 0.5000 0.0000 0.0000
As 0.0000 0.5000 0.0000
Se 0.0000 0.0000 0.5000
Sn 0.0000 0.0000 0.0000
Bi 0.5000 0.5000 0.5000



An optimized crystal structure of UBMo2, computed with PBE.

Output
Calculated formation energy = 0.313 eV/atom

Lattice parameters (Å, degrees): 3.0458 3.0458 8.1191 79.19 79.19 60.00
Last column: magnetic moment on the atom in μB.
Fractional positions:
U 0.0000 0.0000 0.0000  1.42
B 0.5000 0.5000 0.5000  0.00
Mo 0.1127 0.1127 0.6619  0.00
Mo 0.8873 0.8873 0.3381  0.00



An optimized crystal structure of NiHSe2, computed with PBE.

Output
E = -130.97 eV for the cell shown

Lattice parameters (Å, degrees): 13.7545 7.0037 7.0037 114.50 101.64 78.36
Fractional positions:
H 0.3772 0.7126 0.5950
H 0.8772 0.9050 0.7874
H 0.1228 0.0950 0.2126
H 0.2423 0.2213 0.4984
H 0.7577 0.7787 0.5016
H 0.2577 0.9984 0.7213
H 0.7423 0.0016 0.2787
H 0.6228 0.2874 0.4050
Se 0.7873 0.8099 0.7777
Se 0.9435 0.3763 0.3772
Se 0.2500 0.6592 0.1592
Se 0.2127 0.1901 0.2223
Se 0.2873 0.7223 0.6901
Se 0.7127 0.2777 0.3099
Se 0.7500 0.7451 0.2451
Se 0.2500 0.2549 0.7549
Se 0.4435 0.1228 0.1237
Se 0.5565 0.8772 0.8763
Se 0.0565 0.6237 0.6228
Se 0.4829 0.6859 0.2067
Se 0.9829 0.2933 0.8141
Se 0.0171 0.7067 0.1859
Se 0.7500 0.3408 0.8408
Se 0.5171 0.3141 0.7933
Ni 0.8868 0.4951 0.0865
Ni 0.1132 0.5049 0.9135
Ni 0.1597 0.6156 0.3938
Ni 0.6132 0.5865 0.9951
Ni 0.3403 0.8938 0.1156
Ni 0.3868 0.4135 0.0049
Ni 0.8403 0.3844 0.6062
Ni 0.6597 0.1062 0.8844



Number 1: DOS(E_F) 4.5 states/eV/cell. Number 2: DOS(E_F) 6.4 states/eV/cell. Number 3: DOS(E_F) 15.2 states/eV/cell.